1.
HgAsP2S PBE optimized geometry; formation energy (no corrections) = 0.8662 eV/atom; magnetization = 1.08 μB per formula unit; mass density = 5.53 g/cm3
1.0
4.816 0.000 0.000
0.000 4.816 0.000
0.000 0.000 4.786
Hg As P S
1 1 2 1
Direct
0.000 0.000 0.000 Hg
0.500 0.500 0.500 As
0.000 0.500 0.500 P
0.500 0.000 0.500 P
0.500 0.500 0.000 S

***

2.
PrTmTh2S4 PBE optimized geometry; formation energy (no corrections) = -1.8819 eV/atom; magnetization = 0.00 μB per formula unit; mass density = 8.21 g/cm3
1.0
6.876 0.000 0.000
0.000 3.994 0.000
-2.302 0.000 6.644
Pr Tm Th S
1 1 2 4
Direct
0.000 0.000 0.000 Pr
0.500 0.500 0.000 Tm
0.000 0.500 0.500 Th
0.500 0.000 0.500 Th
0.259 0.500 0.244 S
0.265 0.000 0.763 S
0.735 0.000 0.237 S
0.741 0.500 0.756 S

***

3.
RuC3F PBE optimized geometry; formation energy (no corrections) = 1.7513 eV/atom; magnetization = 0.00 μB per formula unit; mass density = 4.25 g/cm3
1.0
3.938 0.000 0.000
0.000 3.938 0.000
0.000 0.000 3.938
Ru C F
1 3 1
Direct
0.000 0.000 0.000 Ru
0.000 0.000 0.500 C
0.000 0.500 0.000 C
0.500 0.000 0.000 C
0.500 0.500 0.500 F

***

4.
Np2Ni9Rh PBE optimized geometry; formation energy = -0.004 eV/atom; magnetization = 3.40 μB per formula unit; mass density = 11.38 g/cm3
1.0
2.419 1.397 7.953
-2.419 1.397 7.953
0.000 -2.793 7.953
Np Ni Rh
2 9 1
Direct
0.135 0.135 0.135 Np
0.865 0.865 0.865 Np
0.080 0.583 0.583 Ni
0.333 0.333 0.333 Ni
0.417 0.417 0.920 Ni
0.417 0.920 0.417 Ni
0.500 0.500 0.500 Ni
0.583 0.080 0.583 Ni
0.583 0.583 0.080 Ni
0.667 0.667 0.667 Ni
0.920 0.417 0.417 Ni
0.000 0.000 0.000 Rh

***

Computed values of raw total energy (unit: eV for the cell shown) for the preceding records, in sequence: -15.57 -55.66 -30.06 -85.31.